Computed, not measured: an optimized crystal structure of NdNi at the PBE-GGA level of DFT.

size of the total moment = 0.000 μB per atom
energy of formation = -0.32 eV per formula unit

Lattice parameters (Å, degrees): 4.037 4.037 4.037 60.00 60.00 60.00
Sites, in units of the cell vectors:
Nd 0.000 0.000 0.000
Ni 0.500 0.500 0.500

Computed, not measured: an optimized crystal structure of Y2TmSc3NiTe2 at the PBE-GGA level of DFT.

size of the total moment = 0.029 μB per atom

Lattice parameters (Å, degrees): 3.928 7.988 7.988 120.51 90.00 90.00
Sites, in units of the cell vectors:
Y 0.000 0.197 0.803
Y 0.000 0.803 0.197
Tm 0.000 0.583 0.583
Sc 0.500 0.194 0.427
Sc 0.500 0.427 0.194
Sc 0.500 0.968 0.968
Ni 0.000 0.221 0.221
Te 0.500 0.531 0.861
Te 0.500 0.861 0.531

Computed, not measured: an optimized crystal structure of Mg2Ag at the PBE-GGA level of DFT.

Lattice parameters (Å, degrees): 7.975 4.910 12.151 90.00 100.74 90.00
Sites, in units of the cell vectors:
Mg 0.038 0.250 0.315
Mg 0.046 0.250 0.073
Mg 0.067 0.250 0.570
Mg 0.081 0.250 0.819
Mg 0.274 0.750 0.346
Mg 0.282 0.750 0.103
Mg 0.391 0.250 0.485
Mg 0.391 0.250 0.988
Mg 0.609 0.750 0.012
Mg 0.609 0.750 0.515
Mg 0.718 0.250 0.897
Mg 0.726 0.250 0.654
Mg 0.919 0.750 0.181
Mg 0.933 0.750 0.430
Mg 0.954 0.750 0.927
Mg 0.962 0.750 0.685
Ag 0.278 0.750 0.591
Ag 0.288 0.750 0.853
Ag 0.374 0.250 0.236
Ag 0.398 0.250 0.734
Ag 0.602 0.750 0.266
Ag 0.626 0.750 0.764
Ag 0.712 0.250 0.147
Ag 0.722 0.250 0.409

Computed, not measured: an optimized crystal structure of LiCd2Ag at the PBE-GGA level of DFT.

Lattice parameters (Å, degrees): 4.673 4.673 8.478 90.00 90.00 120.00
Sites, in units of the cell vectors:
Li 0.000 0.000 0.000
Li 0.000 0.000 0.500
Cd 0.333 0.667 0.086
Cd 0.333 0.667 0.414
Cd 0.667 0.333 0.586
Cd 0.667 0.333 0.914
Ag 0.333 0.667 0.750
Ag 0.667 0.333 0.250

Computed, not measured: an optimized crystal structure of LiB4Ir at the PBE-GGA level of DFT.

size of the total moment = 0.002 μB per atom

Lattice parameters (Å, degrees): 5.868 11.229 3.404 90.00 90.00 90.00
Sites, in units of the cell vectors:
Li 0.122 0.152 0.000
Li 0.378 0.652 0.000
Li 0.622 0.348 0.000
Li 0.878 0.848 0.000
B 0.022 0.696 0.500
B 0.117 0.551 0.500
B 0.131 0.973 0.500
B 0.203 0.813 0.500
B 0.297 0.313 0.500
B 0.369 0.473 0.500
B 0.383 0.051 0.500
B 0.478 0.196 0.500
B 0.522 0.804 0.500
B 0.617 0.949 0.500
B 0.631 0.527 0.500
B 0.703 0.687 0.500
B 0.797 0.187 0.500
B 0.869 0.027 0.500
B 0.883 0.449 0.500
B 0.978 0.304 0.500
Ir 0.144 0.409 0.000
Ir 0.356 0.909 0.000
Ir 0.644 0.091 0.000
Ir 0.856 0.591 0.000

Computed, not measured: an optimized crystal structure of ZrFe2I2 at the PBE-GGA level of DFT.

size of the total moment = 0.427 μB per atom

Lattice parameters (Å, degrees): 4.047 4.047 8.127 90.00 90.00 120.00
Sites, in units of the cell vectors:
Zr 0.000 0.000 0.000
Fe 0.333 0.667 0.875
Fe 0.667 0.333 0.125
I 0.333 0.667 0.288
I 0.667 0.333 0.712

Computed, not measured: an optimized crystal structure of HfCu2TeSeS at the PBE-GGA level of DFT.

size of the total moment = 0.001 μB per atom

Lattice parameters (Å, degrees): 10.007 10.007 6.921 98.49 98.49 22.35
Sites, in units of the cell vectors:
Hf 0.151 0.151 0.048
Hf 0.849 0.849 0.952
Cu 0.206 0.206 0.448
Cu 0.449 0.449 0.844
Cu 0.551 0.551 0.156
Cu 0.794 0.794 0.552
Te 0.420 0.420 0.207
Te 0.580 0.580 0.793
Se 0.254 0.254 0.788
Se 0.746 0.746 0.212
S 0.091 0.091 0.327
S 0.909 0.909 0.673

Computed, not measured: an optimized crystal structure of BeCdBi at the PBE-GGA level of DFT.

Lattice parameters (Å, degrees): 4.797 4.797 4.797 60.00 60.00 60.00
Sites, in units of the cell vectors:
Be 0.000 0.000 0.000
Cd 0.500 0.500 0.500
Bi 0.250 0.250 0.250

Computed, not measured: an optimized crystal structure of Lu3ScSn2C2 at the PBE-GGA level of DFT.

size of the total moment = 0.004 μB per atom

Lattice parameters (Å, degrees): 3.494 3.494 15.317 90.00 90.00 120.00
Sites, in units of the cell vectors:
Lu 0.000 0.000 0.000
Lu 0.000 0.000 0.336
Lu 0.667 0.333 0.831
Sc 0.667 0.333 0.498
Sn 0.000 0.000 0.661
Sn 0.667 0.333 0.168
C 0.333 0.667 0.420
C 0.333 0.667 0.916

Computed, not measured: an optimized crystal structure of PrNdGe2Au2 at the PBE-GGA level of DFT.

size of the total moment = 0.000 μB per atom

Lattice parameters (Å, degrees): 4.547 4.547 7.747 90.00 90.00 120.00
Sites, in units of the cell vectors:
Pr 0.000 0.000 0.000
Nd 0.000 0.000 0.499
Ge 0.333 0.667 0.216
Ge 0.667 0.333 0.712
Au 0.333 0.667 0.770
Au 0.667 0.333 0.278

Computed, not measured: an optimized crystal structure of NaUMo at the PBE-GGA level of DFT.

size of the total moment = 0.331 μB per atom

Lattice parameters (Å, degrees): 4.596 4.596 4.596 60.00 60.00 60.00
Sites, in units of the cell vectors:
Na 0.000 0.000 0.000
U 0.750 0.750 0.750
Mo 0.500 0.500 0.500

Computed, not measured: an optimized crystal structure of SrGd at the PBE-GGA level of DFT.

size of the total moment = 0.237 μB per atom

Lattice parameters (Å, degrees): 4.944 4.944 4.944 60.00 60.00 60.00
Sites, in units of the cell vectors:
Sr 0.000 0.000 0.000
Gd 0.500 0.500 0.500

What did we get for DFT total energy? Answer: -10.65 -54.85 -49.63 -13.95 -153.46 -27.09 -64.37 -6.69 -51.36 -30.32 -18.02 -4.63 eV per cell, in the order shown.